Record 1
A crystal of Be2ReP relaxed with PBEsol. Source: Alexandria via LeMat-Bulk, functional SCAN.

The total energy is -22.052 eV/atom. The calculation puts the distance to the lowest polymorph of the same formula at 679.9 meV/atom. The value obtained for the density of states at the Fermi level is 1.9 states/eV/f.u.

The structure belongs to space group Cmm2 (No. 35); the cell edges are 2.887, 4.490 and 7.453 Å and the angles 90.00°, 90.00° and 90.00°. The asymmetric unit holds Be at (0.000, 0.000, 0.000), Be at (0.000, 0.500, 0.232), Re at (0.000, 0.000, 0.491) and P at (0.000, 0.500, 0.750).

Record 2
A crystal of La5Os3 relaxed with PBEsol. Source: Alexandria via LeMat-Bulk, functional SCAN.

The total energy is -54.037 eV/atom. The value obtained for the density of states at the Fermi level is 5.1 states/eV/f.u.

The structure belongs to space group I4/mcm (No. 140); the cell edges are 11.146, 11.146 and 6.214 Å and the angles 90.00°, 90.00° and 90.00°. The asymmetric unit holds La at (0.000, 0.500, 0.250), La at (0.087, 0.210, 0.000), Os at (0.000, 0.000, 0.250) and Os at (0.154, 0.346, 0.500).

Record 3
A crystal of Ni2RhAuN relaxed with PBEsol. Source: Alexandria via LeMat-Bulk, functional SCAN.

The value obtained for the raw formation energy is 2.10 eV/atom. The total energy is -26.816 eV/atom. The value obtained for the density of states at the Fermi level is 3.3 states/eV/f.u.

The structure belongs to space group P4/mmm (No. 123); the cell edges are 4.434, 4.434 and 4.951 Å and the angles 90.00°, 90.00° and 90.00°. The asymmetric unit holds Ni at (0.000, 0.500, 0.000), Rh at (0.000, 0.000, 0.000), Au at (0.000, 0.000, 0.500) and N at (0.500, 0.500, 0.500).

Record 4
A crystal of NdAl10Fe2 relaxed with PBEsol. Source: Alexandria via LeMat-Bulk, functional SCAN.

The total energy is -12.437 eV/atom. The value obtained for the density of states at the Fermi level is 4.9 states/eV/f.u.

The structure belongs to space group Cmcm (No. 63); the cell edges are 8.904, 10.111 and 8.951 Å and the angles 90.00°, 90.00° and 90.00°. The asymmetric unit holds Nd at (0.000, 0.123, 0.250), Al at (0.000, 0.162, 0.598), Al at (0.000, 0.376, 0.051), Al at (0.150, 0.371, 0.750), Al at (0.228, 0.000, 0.000), Al at (0.228, 0.360, 0.250) and Fe at (0.250, 0.250, 0.000).

Record 5
A crystal of CsIrSe2N relaxed with PBEsol. Source: Alexandria via LeMat-Bulk, functional SCAN.

The value obtained for the raw formation energy is 2.78 eV/atom. The total energy is -28.888 eV/atom. The calculation puts the distance to the lowest polymorph of the same formula at 2674.1 meV/atom. The value obtained for the density of states at the Fermi level is 3.0 states/eV/f.u.

The structure belongs to space group P4/mmm (No. 123); the cell edges are 5.473, 5.473 and 4.016 Å and the angles 90.00°, 90.00° and 90.00°. The asymmetric unit holds Cs at (0.000, 0.000, 0.000), Ir at (0.500, 0.500, 0.500), Se at (0.000, 0.500, 0.000) and N at (0.000, 0.000, 0.500).

Record 6
A crystal of TiNi3C relaxed with PBEsol. Source: Alexandria via LeMat-Bulk, functional SCAN.

The total energy is -12.569 eV/atom. The value obtained for the density of states at the Fermi level is 2.3 states/eV/f.u.

The structure belongs to space group Pm-3m (No. 221); the cell edges are 4.195, 4.195 and 4.195 Å and the angles 90.00°, 90.00° and 90.00°. The asymmetric unit holds Ti at (0.000, 0.000, 0.000), Ni at (0.000, 0.000, 0.500) and C at (0.500, 0.500, 0.500).

Record 7
A crystal of Y2RuBr relaxed with PBEsol. Source: Alexandria via LeMat-Bulk, functional SCAN.

The value obtained for the raw formation energy is -0.89 eV/atom. The total energy is -28.381 eV/atom. The calculation puts the distance to the lowest polymorph of the same formula at 57.8 meV/atom. The value obtained for the density of states at the Fermi level is 1.5 states/eV/f.u.

The structure belongs to space group P4/mmm (No. 123); the cell edges are 3.342, 3.342 and 7.969 Å and the angles 90.00°, 90.00° and 90.00°. The asymmetric unit holds Y at (0.000, 0.000, 0.208), Ru at (0.500, 0.500, 0.000) and Br at (0.500, 0.500, 0.500).

Record 8
A crystal of BaLi2Mg2 relaxed with PBEsol. Source: Alexandria via LeMat-Bulk, functional SCAN.

The total energy is -10.823 eV/atom. The calculation puts the distance to the lowest polymorph of the same formula at 4.4 meV/atom. The value obtained for the density of states at the Fermi level is 3.6 states/eV/f.u.

The structure belongs to space group I4/mmm (No. 139); the cell edges are 5.311, 5.311 and 10.445 Å and the angles 90.00°, 90.00° and 90.00°. The asymmetric unit holds Ba at (0.000, 0.000, 0.000), Li at (0.000, 0.500, 0.250) and Mg at (0.000, 0.000, 0.357).

Record 9
A crystal of BaLi3Pt relaxed with PBEsol. Source: Alexandria via LeMat-Bulk, functional SCAN.

The total energy is -23.678 eV/atom. The value obtained for the density of states at the Fermi level is 3.3 states/eV/f.u.

The structure belongs to space group Pm-3m (No. 221); the cell edges are 4.929, 4.929 and 4.929 Å and the angles 90.00°, 90.00° and 90.00°. The asymmetric unit holds Ba at (0.000, 0.000, 0.000), Li at (0.000, 0.500, 0.500) and Pt at (0.500, 0.500, 0.500).

Record 10
A crystal of Rb2Pd3S4 relaxed with PBEsol. Source: Alexandria via LeMat-Bulk, functional SCAN.

The value obtained for the raw formation energy is -0.87 eV/atom. The total energy is -20.683 eV/atom.

The structure belongs to space group Fddd (No. 70, origin choice 2); the cell edges are 6.085, 10.733 and 26.340 Å and the angles 90.00°, 90.00° and 90.00°. The asymmetric unit holds Rb at (0.125, 0.125, 0.047), Pd at (0.125, 0.125, 0.376), Pd at (0.125, 0.125, 0.625) and S at (0.122, 0.290, 0.567).

Record 11
A crystal of EuSi2Ni2 relaxed with PBEsol. Source: Alexandria via LeMat-Bulk, functional SCAN.

The value obtained for the raw formation energy is -0.66 eV/atom. The total energy is -21.883 eV/atom. The value obtained for the density of states at the Fermi level is 7.0 states/eV/f.u.

The structure belongs to space group I4/mmm (No. 139); the cell edges are 3.973, 3.973 and 9.627 Å and the angles 90.00°, 90.00° and 90.00°. The asymmetric unit holds Eu at (0.000, 0.000, 0.000), Si at (0.000, 0.000, 0.369) and Ni at (0.000, 0.500, 0.250).

Record 12
A crystal of LiTeAs3 relaxed with PBEsol. Source: Alexandria via LeMat-Bulk, functional SCAN.

The value obtained for the raw formation energy is 0.56 eV/atom. The total energy is -19.478 eV/atom. The value obtained for the density of states at the Fermi level is 3.8 states/eV/f.u.

The structure belongs to space group Pm-3m (No. 221); the cell edges are 4.614, 4.614 and 4.614 Å and the angles 90.00°, 90.00° and 90.00°. The asymmetric unit holds Li at (0.000, 0.000, 0.000), Te at (0.500, 0.500, 0.500) and As at (0.000, 0.000, 0.500).